No. 1
The following is a DFT calculation (PBE) of a relaxed LiPd3Au3 crystal.

Space group: P-1, No. 2

abc: 6.803 5.485 7.331
angles: 69.96 63.53 74.27
Positions (direct):
Li: 0.403 0.473 0.364
Li: 0.597 0.527 0.636
Pd: 0.831 0.334 0.083
Pd: 0.115 0.904 0.231
Pd: 0.262 0.188 0.800
Pd: 0.738 0.812 0.200
Pd: 0.885 0.096 0.769
Pd: 0.169 0.666 0.917
Au: 0.458 0.242 0.052
Au: 0.315 0.944 0.489
Au: 0.015 0.391 0.344
Au: 0.985 0.609 0.656
Au: 0.685 0.056 0.511
Au: 0.542 0.758 0.948


No. 2
The following is a DFT calculation (PBE) of a relaxed Li2Pd5Au5 crystal.

Excess energy over the best structure of this formula in the dataset in meV/atom: 0.0
Space group: C2/m, No. 12

abc: 4.009 6.373 8.939
angles: 115.46 90.00 108.33
Positions (direct):
Li: 0.082 0.165 0.747
Li: 0.918 0.835 0.253
Pd: 0.166 0.332 0.501
Pd: 0.748 0.495 0.748
Pd: 0.252 0.505 0.252
Pd: 0.834 0.668 0.499
Pd: 0.000 0.000 0.000
Au: 0.500 0.000 0.500
Au: 0.667 0.334 0.999
Au: 0.584 0.168 0.252
Au: 0.416 0.832 0.748
Au: 0.333 0.666 0.001


No. 3
The following is a DFT calculation (PBE) of a relaxed Li4Pd3Au4 crystal.

Space group: P-1, No. 2

abc: 2.797 4.062 15.421
angles: 97.59 96.60 90.00
Positions (direct):
Li: 0.100 0.094 0.186
Li: 0.264 0.275 0.550
Li: 0.736 0.725 0.450
Li: 0.900 0.906 0.814
Pd: 0.637 0.639 0.276
Pd: 0.363 0.361 0.724
Pd: 0.000 0.000 0.000
Au: 0.559 0.549 0.096
Au: 0.441 0.451 0.904
Au: 0.805 0.812 0.626
Au: 0.195 0.188 0.374


Sequential calculated total energy output: -0.3036 -0.3028 -0.2708 Ry/atom
Sequential energy relative to the elements output: -0.23 -0.27 -0.38 eV/atom